No. 1
A relaxed structure of Dy8GeS5, computed with PBE-GGA.

Properties
Total moment (Bohr magnetons per cell): 0.0
Uncorrected formation energy (kJ/mol of formula units): -1973
Space group: No. 82

a = 7.614 Å, b = 7.614 Å, c = 7.614 Å
α = 103.74°, β = 103.74°, γ = 121.67°
Sites, in units of the cell vectors:
Dy 0.314 0.566 0.166
Dy 0.395 0.144 0.336
Dy 0.401 0.148 0.834
Dy 0.434 0.599 0.748
Dy 0.808 0.059 0.664
Dy 0.852 0.686 0.252
Dy 0.856 0.192 0.251
Dy 0.941 0.605 0.749
Ge 0.250 0.750 0.500
S 0.000 0.000 0.000
S 0.122 0.143 0.518
S 0.396 0.878 0.021
S 0.625 0.604 0.482
S 0.857 0.375 0.979

=====

No. 2
A relaxed structure of KSn2Se, computed with PBE-GGA.

Properties
Total moment (Bohr magnetons per cell): 0.0
Uncorrected formation energy (kJ/mol of formula units): -84
Space group: No. 122

a = 7.137 Å, b = 7.137 Å, c = 7.137 Å
α = 101.26°, β = 101.26°, γ = 127.56°
Sites, in units of the cell vectors:
K 0.000 0.000 0.000
K 0.750 0.250 0.500
Sn 0.180 0.625 0.055
Sn 0.375 0.430 0.555
Sn 0.570 0.125 0.945
Sn 0.875 0.820 0.445
Se 0.250 0.750 0.500
Se 0.500 0.500 0.000

=====

No. 3
A relaxed structure of HfTl2Sn2, computed with PBE-GGA.

Properties
Total moment (Bohr magnetons per cell): 0.0
DFT formation energy (eV per atom): 0.257
Space group: No. 127

a = 7.641 Å, b = 7.641 Å, c = 4.770 Å
α = 90.00°, β = 90.00°, γ = 90.00°
Sites, in units of the cell vectors:
Hf 0.000 0.000 0.000
Hf 0.500 0.500 0.000
Tl 0.179 0.321 0.500
Tl 0.321 0.821 0.500
Tl 0.679 0.179 0.500
Tl 0.821 0.679 0.500
Sn 0.136 0.636 0.000
Sn 0.364 0.136 0.000
Sn 0.636 0.864 0.000
Sn 0.864 0.364 0.000